The following is a PBE with a Hubbard U calculation of CsBiMoF6 after structural relaxation, from Alexandria via LeMat-Bulk.

abc: 6.003 6.005 6.060
angles: 90.72 90.25 117.03
Fractional positions:
Cs (0.000, 0.000, 0.000)
Bi (0.351, 0.722, 0.511)
Mo (0.696, 0.322, 0.425)
F (0.036, 0.461, 0.252)
F (0.371, 0.130, 0.616)
F (0.515, 0.081, 0.164)
F (0.582, 0.580, 0.296)
F (0.772, 0.039, 0.554)
F (0.939, 0.584, 0.663)

Output
M_tot   2.00 μB per formula unit
E_tot   -4.936 eV per atom